[1]
## Mn2FeSn2 (GGA-PBE)

Data for a relaxed structure of Mn2FeSn2.

The calculation puts the raw total energy at -6.4568 eV/atom. As for the volume: 16.21 Å³ per atom. As for the formation enthalpy at 0 K: 0.505 eV per atom. The calculation puts the density of states at the Fermi level at 1.16 states/eV/atom. As for the total magnetization: 1.48 μB/f.u.

It has space group I4/mmm (No. 139), with a = 3.156 Å, b = 3.156 Å, c = 16.267 Å, α = 90.00°, β = 90.00° and γ = 90.00°. Symmetry generates all atoms from Mn at (0.000, 0.500, 0.250), Fe at (0.000, 0.000, 0.000) and Sn at (0.000, 0.000, 0.395).

=====

[2]
## Mn2Fe2Sn (GGA-PBE)

Data for a relaxed structure of Mn2Fe2Sn.

The calculation puts the raw total energy at -7.5215 eV/atom. As for the volume: 14.03 Å³ per atom. As for the formation enthalpy at 0 K: 0.332 eV per atom. The calculation puts the density of states at the Fermi level at 1.21 states/eV/atom. As for the total magnetization: 3.58 μB/f.u.

It has space group I4/mmm (No. 139), with a = 3.793 Å, b = 3.793 Å, c = 9.749 Å, α = 90.00°, β = 90.00° and γ = 90.00°. Symmetry generates all atoms from Mn at (0.000, 0.500, 0.250), Fe at (0.000, 0.000, 0.109) and Sn at (0.000, 0.000, 0.500).